This record from Alexandria via LeMat-Bulk describes a relaxed YHgRh2 crystal. The functional is PBE.

Output
**Space-group type**: R-3m, No. 166
**Energy**: -0.3998 Ry per atom
**ΔH_f (0 K)**: -73 meV per atom
**DOS(E_F)**: 4.2 states/eV per cell

Cell lengths 8.5212, 8.5212, 8.5212 Å; angles 22.46, 22.46, 22.46 degrees
Fractional positions:
Y (0.0000, 0.0000, 0.0000)
Hg (0.5000, 0.5000, 0.5000)
Rh (0.2511, 0.2511, 0.2511)
Rh (0.7489, 0.7489, 0.7489)

=====

This record from Alexandria via LeMat-Bulk describes a relaxed Hf3ReTe crystal. The functional is PBE.

Output
**Distance to the lowest polymorph of the same formula**: 0 meV per atom
**Space-group type**: Pm-3m, No. 221
**Energy**: -0.6382 Ry per atom
**Formation energy (no corrections)**: 406.9 meV per atom
**DOS(E_F)**: 6.4 states/eV per cell

Cell lengths 5.0687, 5.0687, 5.0687 Å; angles 90.00, 90.00, 90.00 degrees
Fractional positions:
Hf (0.0000, 0.0000, 0.5000)
Hf (0.0000, 0.5000, 0.0000)
Hf (0.5000, 0.0000, 0.0000)
Re (0.0000, 0.0000, 0.0000)
Te (0.5000, 0.5000, 0.5000)

=====

This record from Alexandria via LeMat-Bulk describes a relaxed Tm5ThTl8 crystal. The functional is PBE.

Output
**Space-group type**: I-4, No. 82
**Energy**: -0.2668 Ry per atom
**ΔH_f (0 K)**: -151 meV per atom
**DOS(E_F)**: 10.5 states/eV per cell

Cell lengths 8.0089, 8.0089, 8.0089 Å; angles 110.58, 110.58, 107.28 degrees
Fractional positions:
Tm (0.0000, 0.0000, 0.0000)
Tm (0.1796, 0.2644, 0.6445)
Tm (0.4648, 0.8204, 0.0847)
Tm (0.6199, 0.5352, 0.3555)
Tm (0.7356, 0.3801, 0.9153)
Th (0.2500, 0.7500, 0.5000)
Tl (0.1778, 0.4425, 0.0585)
Tl (0.3840, 0.1193, 0.9415)
Tl (0.4087, 0.1405, 0.4073)
Tl (0.5575, 0.6160, 0.7353)
Tl (0.7332, 0.0014, 0.5927)
Tl (0.8595, 0.2668, 0.2682)
Tl (0.8807, 0.8222, 0.2647)
Tl (0.9986, 0.5913, 0.7318)

=====

This record from Alexandria via LeMat-Bulk describes a relaxed PuZnCo2 crystal. The functional is PBE.

Output
**Space-group type**: Pmma, No. 51
**Energy**: -0.5352 Ry per atom
**ΔH_f (0 K)**: 172 meV per atom
**DOS(E_F)**: 38.0 states/eV per cell

Cell lengths 4.9869, 4.7704, 12.0890 Å; angles 90.00, 90.00, 90.00 degrees
Fractional positions:
Pu (0.2500, 0.0000, 0.0748)
Pu (0.2500, 0.5000, 0.3905)
Pu (0.7500, 0.0000, 0.9252)
Pu (0.7500, 0.5000, 0.6095)
Zn (0.2500, 0.0000, 0.7978)
Zn (0.2500, 0.5000, 0.8202)
Zn (0.7500, 0.0000, 0.2022)
Zn (0.7500, 0.5000, 0.1798)
Co (0.0000, 0.0000, 0.5000)
Co (0.0000, 0.5000, 0.0000)
Co (0.2500, 0.2599, 0.6287)
Co (0.2500, 0.7401, 0.6287)
Co (0.5000, 0.0000, 0.5000)
Co (0.5000, 0.5000, 0.0000)
Co (0.7500, 0.2599, 0.3713)
Co (0.7500, 0.7401, 0.3713)